First-principles (PBE) data for an optimized crystal structure of RbCd2Br6, as listed in Alexandria via LeMat-Bulk.

Geometry as POSCAR:
```
RbCd2Br6
1.0
6.1076 0.0000 0.0000
3.0538 6.6552 -0.8283
3.0538 1.6694 8.1901
Cd Br Rb
2 6 1
direct
0.8218 0.2856 0.0708
0.1782 0.7144 0.9292
0.7031 0.6622 0.9316
0.3607 0.6780 0.6006
0.9470 0.8953 0.2108
0.6393 0.3220 0.3994
0.0530 0.1047 0.7892
0.2969 0.3378 0.0684
0.0000 0.5000 0.5000
```

Values from the calculation:
The volume comes out at 37.9 Å³ per atom. As for the formation energy (no corrections): -0.872 eV per atom. The calculation puts the density of states at the Fermi level at 1.38 states/eV/cell. As for the total moment: 1.014 Bohr magnetons per cell.